Below is crystalline EuPuIrRh at its relaxed geometry, with properties calculated at the PBE level.

```
EuPuIrRh
1.0
-0.9669 -3.5415 3.2321
1.5898 -4.5536 -0.8130
3.5996 -1.8595 2.7403
Eu Ir Pu Rh
1 1 1 1
Direct
0.2500 0.2500 0.2500
0.0000 0.0000 0.0000
0.7500 0.7500 0.7500
0.5000 0.5000 0.5000
```

Properties
E_form   -0.366 eV per atom